# ZrTa2WO PBE with a Hubbard U relaxed
# Size of the total moment (μB/f.u.): 0.1
# Crystal system: tetragonal
# VASP energy (eV per atom): -9.307
# Symmetry: No. 123
data_ZrTa2WO
_chemical_formula_sum 'Zr1 Ta2 W1 O1'
_symmetry_space_group_name_H-M 'P 1'
_symmetry_Int_Tables_number 1
_cell_length_a 4.2284
_cell_length_b 4.2284
_cell_length_c 4.5872
_cell_angle_alpha 90.00
_cell_angle_beta 90.00
_cell_angle_gamma 90.00
loop_
_symmetry_equiv_pos_as_xyz
'x,y,z'
loop_
_atom_site_label
_atom_site_type_symbol
_atom_site_fract_x
_atom_site_fract_y
_atom_site_fract_z
Zr1 Zr 0.0000 0.0000 0.0000
Ta1 Ta 0.0000 0.5000 0.5000
Ta2 Ta 0.5000 0.0000 0.5000
W1 W 0.5000 0.5000 0.0000
O1 O 0.0000 0.0000 0.5000